(1)
{
  "formula": "MgAg2As",
  "functional": "PBEsol",
  "state": "optimized geometry",
  "delta_e_f_ev_per_atom": -0.089,
  "e_tot_ev_per_atom": -3.451,
  "magnetic_moment_mub_per_atom": 0.000,
  "lattice": [[3.223, 0.000, 0.000], [0.000, 3.864, 0.000], [0.000, 0.000, 5.664]],
  "species": ["Ag", "As", "Ag", "Mg"],
  "fractional_positions": [[0.000, 0.000, 0.252], [0.500, 0.500, 0.000], [0.000, 0.000, 0.748], [0.500, 0.500, 0.500]]
}

***

(2)
{
  "formula": "MnAg4As",
  "functional": "PBEsol",
  "state": "optimized geometry",
  "delta_e_f_ev_per_atom": 0.384,
  "e_tot_ev_per_atom": -4.301,
  "magnetic_moment_mub_per_atom": 0.739,
  "lattice": [[-4.043, 0.897, -3.373], [-3.379, -3.949, -1.229], [-5.020, 0.117, 1.820]],
  "species": ["Ag", "Mn", "Ag", "As", "Ag", "Ag"],
  "fractional_positions": [[0.876, 0.375, 0.375], [0.000, 0.000, 0.000], [0.375, 0.375, 0.375], [0.750, 0.750, 0.750], [0.375, 0.876, 0.375], [0.375, 0.375, 0.876]]
}

***

(3)
{
  "formula": "MnAgAs",
  "functional": "PBEsol",
  "state": "optimized geometry",
  "delta_e_f_ev_per_atom": 0.218,
  "e_tot_ev_per_atom": -5.841,
  "magnetic_moment_mub_per_atom": 1.221,
  "lattice": [[-1.916, -3.018, 2.252], [1.586, -3.915, 0.066], [1.813, -1.486, 3.515]],
  "species": ["As", "Ag", "Mn"],
  "fractional_positions": [[0.500, 0.500, 0.500], [0.000, 0.000, 0.000], [0.250, 0.250, 0.250]]
}

***

(4)
{
  "formula": "MnAgAs",
  "functional": "PBEsol",
  "state": "optimized geometry",
  "delta_e_f_ev_per_atom": 0.242,
  "e_tot_ev_per_atom": -5.818,
  "magnetic_moment_mub_per_atom": 1.064,
  "lattice": [[-1.385, 1.254, -2.216], [1.081, -2.673, -0.293], [-5.644, -2.513, 2.106]],
  "species": ["Ag", "Mn", "As"],
  "fractional_positions": [[0.000, 0.000, 0.017], [0.667, 0.333, 0.348], [0.333, 0.667, 0.635]]
}

***

(5)
{
  "formula": "MnAg2As",
  "functional": "PBEsol",
  "state": "optimized geometry",
  "delta_e_f_ev_per_atom": 0.217,
  "e_tot_ev_per_atom": -5.156,
  "magnetic_moment_mub_per_atom": 0.979,
  "lattice": [[-2.159, -0.892, 1.685], [-1.025, -3.239, -3.190], [3.021, -3.134, 2.211]],
  "species": ["Ag", "Mn", "Ag", "As"],
  "fractional_positions": [[0.763, 0.753, 0.000], [0.500, 0.000, 0.500], [0.237, 0.247, 0.000], [0.000, 0.500, 0.500]]
}

***

(6)
{
  "formula": "MnAg2As",
  "functional": "PBEsol",
  "state": "optimized geometry",
  "delta_e_f_ev_per_atom": 0.250,
  "e_tot_ev_per_atom": -5.122,
  "magnetic_moment_mub_per_atom": 1.029,
  "lattice": [[-1.286, -1.424, 2.940], [-2.589, -1.483, -1.851], [3.066, -4.380, -0.781]],
  "species": ["Mn", "Ag", "As", "Ag"],
  "fractional_positions": [[0.500, 0.500, 0.500], [0.000, 0.000, 0.746], [0.500, 0.500, 0.000], [0.000, 0.000, 0.254]]
}

***

(7)
{
  "formula": "MnAgAs2",
  "functional": "PBEsol",
  "state": "optimized geometry",
  "delta_e_f_ev_per_atom": 0.072,
  "e_tot_ev_per_atom": -5.749,
  "magnetic_moment_mub_per_atom": 0.000,
  "lattice": [[2.896, 0.000, 0.000], [0.000, 2.896, 0.000], [0.000, 0.000, 7.327]],
  "species": ["As", "As", "Ag", "Mn"],
  "fractional_positions": [[0.000, 0.000, 0.803], [0.000, 0.000, 0.197], [0.500, 0.500, 0.500], [0.500, 0.500, 0.000]]
}

***

(8)
{
  "formula": "Ag2MoAs",
  "functional": "PBEsol",
  "state": "optimized geometry",
  "delta_e_f_ev_per_atom": 0.365,
  "e_tot_ev_per_atom": -5.509,
  "magnetic_moment_mub_per_atom": 0.000,
  "lattice": [[2.833, 0.000, 0.000], [1.416, 2.453, 0.000], [1.416, 0.818, 9.471]],
  "species": ["Ag", "Ag", "As", "Mo"],
  "fractional_positions": [[0.749, 0.749, 0.752], [0.251, 0.251, 0.248], [0.500, 0.500, 0.500], [0.000, 0.000, 0.000]]
}

***

(9)
{
  "formula": "Ag2MoAs",
  "functional": "PBEsol",
  "state": "optimized geometry",
  "delta_e_f_ev_per_atom": 0.437,
  "e_tot_ev_per_atom": -5.438,
  "magnetic_moment_mub_per_atom": 0.000,
  "lattice": [[3.713, 0.000, 0.000], [0.000, 3.713, 0.000], [-1.857, -1.857, 4.754]],
  "species": ["Ag", "Ag", "As", "Mo"],
  "fractional_positions": [[0.250, 0.750, 0.500], [0.750, 0.250, 0.500], [0.500, 0.500, 0.000], [0.000, 0.000, 0.000]]
}

***

(10)
{
  "formula": "AgMoAs",
  "functional": "PBEsol",
  "state": "optimized geometry",
  "delta_e_f_ev_per_atom": 0.240,
  "e_tot_ev_per_atom": -6.488,
  "magnetic_moment_mub_per_atom": 0.000,
  "lattice": [[3.145, 0.000, 0.000], [0.000, 3.145, 0.000], [-1.573, -1.573, 4.935]],
  "species": ["Ag", "Mo", "As"],
  "fractional_positions": [[0.002, 0.002, 0.005], [0.311, 0.311, 0.621], [0.687, 0.687, 0.374]]
}

***

(11)
{
  "formula": "AgMo4As",
  "functional": "PBEsol",
  "state": "optimized geometry",
  "delta_e_f_ev_per_atom": 0.671,
  "e_tot_ev_per_atom": -8.578,
  "magnetic_moment_mub_per_atom": 0.000,
  "lattice": [[5.190, 0.000, 0.000], [2.595, 4.495, 0.000], [2.595, 1.498, 4.237]],
  "species": ["Mo", "Mo", "As", "Ag", "Mo", "Mo"],
  "fractional_positions": [[0.377, 0.869, 0.377], [0.377, 0.377, 0.377], [0.000, 0.000, 0.000], [0.750, 0.750, 0.750], [0.869, 0.377, 0.377], [0.377, 0.377, 0.869]]
}

***

(12)
{
  "formula": "AgAsNO2",
  "functional": "PBEsol",
  "state": "optimized geometry",
  "e_tot_ev_per_atom": -4.462,
  "magnetic_moment_mub_per_atom": 0.002,
  "lattice": [[3.890, 0.000, 0.000], [0.000, 3.890, 0.000], [0.000, 0.000, 4.002]],
  "species": ["As", "N", "O", "O", "Ag"],
  "fractional_positions": [[0.500, 0.500, 0.500], [0.000, 0.000, 0.500], [0.500, 0.000, 0.000], [0.000, 0.500, 0.000], [0.000, 0.000, 0.000]]
}